# 1
# BiPd2Pb2 (PBE-GGA, relaxed)
data_BiPd2Pb2
_cell_length_a 3.873
_cell_length_b 3.873
_cell_length_c 17.047
_cell_angle_alpha 90.00
_cell_angle_beta 90.00
_cell_angle_gamma 90.00
_symmetry_space_group_name_H-M 'I 4/m m m'
_symmetry_Int_Tables_number 139
_symmetry_space_group_name_Hall '-I 4 2'
loop_
_atom_site_label
_atom_site_type_symbol
_atom_site_fract_x
_atom_site_fract_y
_atom_site_fract_z
Bi1 Bi 0.000 0.000 0.000
Pd1 Pd 0.000 0.500 0.250
Pb1 Pb 0.000 0.000 0.375
# Calculated volume (A^3/atom): 25.574
# Crystal system: tetragonal
# ΔE_f (eV/atom): -0.0280
# VASP energy (eV/cell): -43.65


# 2
# YPuBi2 (PBE-GGA, relaxed)
data_YPuBi2
_cell_length_a 4.5145
_cell_length_b 4.5145
_cell_length_c 22.0824
_cell_angle_alpha 90.00
_cell_angle_beta 90.00
_cell_angle_gamma 120.00
_symmetry_space_group_name_H-M 'R -3 m'
_symmetry_Int_Tables_number 166
_symmetry_space_group_name_Hall '-R 3 2"'
loop_
_atom_site_label
_atom_site_type_symbol
_atom_site_fract_x
_atom_site_fract_y
_atom_site_fract_z
Y1 Y 0.0000 0.0000 0.0000
Pu1 Pu 0.0000 0.0000 0.5000
Bi1 Bi 0.0000 0.0000 0.2506
# Calculated volume (A^3/atom): 32.481
# Crystal system: trigonal
# ΔE_f (eV/atom): -0.6122
# VASP energy (eV/cell): -93.02


# 3
# Ag7PS6 (PBE-GGA, relaxed)
data_Ag7PS6
_cell_length_a 6.486
_cell_length_b 14.003
_cell_length_c 13.791
_cell_angle_alpha 90.00
_cell_angle_beta 90.00
_cell_angle_gamma 90.00
_symmetry_space_group_name_H-M 'I b a m'
_symmetry_Int_Tables_number 72
_symmetry_space_group_name_Hall '-I 2 2c'
loop_
_atom_site_label
_atom_site_type_symbol
_atom_site_fract_x
_atom_site_fract_y
_atom_site_fract_z
Ag1 Ag 0.000 0.000 0.250
Ag2 Ag 0.074 0.293 0.103
Ag3 Ag 0.221 0.015 0.000
P1 P 0.000 0.500 0.250
S1 S 0.111 0.159 0.500
S2 S 0.189 0.411 0.332
# Calculated volume (A^3/atom): 22.366
# Crystal system: orthorhombic
# VASP energy (eV/cell): -201.29
# Energy relative to the elements, uncorrected (meV per atom): -13


# 4
# Ta4OsAu (PBE-GGA, relaxed)
data_Ta4OsAu
_cell_length_a 7.547
_cell_length_b 7.547
_cell_length_c 7.547
_cell_angle_alpha 90.00
_cell_angle_beta 90.00
_cell_angle_gamma 90.00
_symmetry_space_group_name_H-M 'F -4 3 m'
_symmetry_Int_Tables_number 216
_symmetry_space_group_name_Hall 'F -4 2 3'
loop_
_atom_site_label
_atom_site_type_symbol
_atom_site_fract_x
_atom_site_fract_y
_atom_site_fract_z
Ta1 Ta 0.124 0.124 0.376
Os1 Os 0.250 0.250 0.750
Au1 Au 0.000 0.000 0.000
# Calculated volume (A^3/atom): 17.914
# Crystal system: cubic
# ΔE_f (eV/atom): 0.4074
# VASP energy (eV/cell): -237.89


Q: Which value of calculated volume does entry 4 give?
A: 17.914 A^3/atom


Q: What is the calculated volume in the second record?
A: 32.481 A^3/atom


Q: Among the records above, which one has the highest calculated volume?
A: YPuBi2


Q: Which formula does entry 1 have?
A: BiPd2Pb2